(1)
{
  "formula": "BaHg2W",
  "functional": "SCAN",
  "state": "PBEsol geometry",
  "de_polymorph_mev_per_atom": 367,
  "cell": [[7.415, 0.000, 0.000], [0.000, 7.415, 0.000], [0.000, 0.000, 7.415]],
  "species": ["Ba", "Ba", "Ba", "Ba", "Hg", "Hg", "Hg", "Hg", "Hg", "Hg", "Hg", "Hg", "W", "W", "W", "W"],
  "frac_coords": [[0.000, 0.000, 0.000], [0.000, 0.500, 0.500], [0.500, 0.000, 0.500], [0.500, 0.500, 0.000], [0.000, 0.000, 0.500], [0.000, 0.500, 0.000], [0.250, 0.250, 0.750], [0.250, 0.750, 0.250], [0.500, 0.000, 0.000], [0.500, 0.500, 0.500], [0.750, 0.250, 0.250], [0.750, 0.750, 0.750], [0.250, 0.250, 0.250], [0.250, 0.750, 0.750], [0.750, 0.250, 0.750], [0.750, 0.750, 0.250]]
}

---

(2)
{
  "formula": "BaHgW3",
  "functional": "SCAN",
  "state": "PBEsol geometry",
  "cell": [[4.947, 0.000, 0.000], [0.000, 4.947, 0.000], [0.000, 0.000, 4.947]],
  "species": ["Ba", "Hg", "W", "W", "W"],
  "frac_coords": [[0.000, 0.000, 0.000], [0.500, 0.500, 0.500], [0.000, 0.000, 0.500], [0.000, 0.500, 0.000], [0.500, 0.000, 0.000]]
}

---

(3)
{
  "formula": "BaHg2W",
  "functional": "SCAN",
  "state": "PBEsol geometry",
  "de_polymorph_mev_per_atom": 0,
  "cell": [[3.109, 0.000, 0.000], [0.000, 3.109, 0.000], [0.000, 0.000, 9.196]],
  "species": ["Ba", "Hg", "Hg", "W"],
  "frac_coords": [[0.000, 0.000, 0.000], [0.500, 0.500, 0.291], [0.500, 0.500, 0.709], [0.000, 0.000, 0.500]]
}

---

(4)
{
  "formula": "Ba2HgW",
  "functional": "SCAN",
  "state": "PBEsol geometry",
  "cell": [[3.733, 0.000, 0.000], [0.000, 3.733, 0.000], [0.000, 0.000, 9.258]],
  "species": ["Ba", "Ba", "Hg", "W"],
  "frac_coords": [[0.000, 0.000, 0.000], [0.500, 0.500, 0.410], [0.000, 0.000, 0.649], [0.500, 0.500, 0.745]]
}

---

(5)
{
  "formula": "BaYHg2",
  "functional": "SCAN",
  "state": "PBEsol geometry",
  "cell": [[3.779, 0.000, 0.000], [0.000, 3.779, 0.000], [0.000, 0.000, 8.026]],
  "species": ["Ba", "Y", "Hg", "Hg"],
  "frac_coords": [[0.000, 0.000, 0.000], [0.000, 0.000, 0.500], [0.500, 0.500, 0.294], [0.500, 0.500, 0.706]]
}

---

(6)
{
  "formula": "Ba2YHg",
  "functional": "SCAN",
  "state": "PBEsol geometry",
  "cell": [[8.107, 0.000, 0.000], [0.000, 8.107, 0.000], [0.000, 0.000, 8.107]],
  "species": ["Ba", "Ba", "Ba", "Ba", "Ba", "Ba", "Ba", "Ba", "Y", "Y", "Y", "Y", "Hg", "Hg", "Hg", "Hg"],
  "frac_coords": [[0.000, 0.000, 0.000], [0.000, 0.500, 0.500], [0.250, 0.250, 0.250], [0.250, 0.750, 0.750], [0.500, 0.000, 0.500], [0.500, 0.500, 0.000], [0.750, 0.250, 0.750], [0.750, 0.750, 0.250], [0.250, 0.250, 0.750], [0.250, 0.750, 0.250], [0.750, 0.250, 0.250], [0.750, 0.750, 0.750], [0.000, 0.000, 0.500], [0.000, 0.500, 0.000], [0.500, 0.000, 0.000], [0.500, 0.500, 0.500]]
}

---

(7)
{
  "formula": "BaY2Hg",
  "functional": "SCAN",
  "state": "PBEsol geometry",
  "cell": [[7.922, 0.000, 0.000], [0.000, 7.922, 0.000], [0.000, 0.000, 7.922]],
  "species": ["Ba", "Ba", "Ba", "Ba", "Y", "Y", "Y", "Y", "Y", "Y", "Y", "Y", "Hg", "Hg", "Hg", "Hg"],
  "frac_coords": [[0.000, 0.000, 0.000], [0.000, 0.500, 0.500], [0.500, 0.000, 0.500], [0.500, 0.500, 0.000], [0.000, 0.000, 0.500], [0.000, 0.500, 0.000], [0.250, 0.250, 0.750], [0.250, 0.750, 0.250], [0.500, 0.000, 0.000], [0.500, 0.500, 0.500], [0.750, 0.250, 0.250], [0.750, 0.750, 0.750], [0.250, 0.250, 0.250], [0.250, 0.750, 0.750], [0.750, 0.250, 0.750], [0.750, 0.750, 0.250]]
}

---

(8)
{
  "formula": "BaY2Hg",
  "functional": "SCAN",
  "state": "PBEsol geometry",
  "cell": [[6.831, 0.000, 0.000], [0.000, 11.865, 0.000], [-1.723, 0.000, 3.086]],
  "species": ["Ba", "Ba", "Y", "Y", "Y", "Y", "Hg", "Hg"],
  "frac_coords": [[0.000, 0.000, 0.000], [0.500, 0.500, 0.000], [0.250, 0.250, 0.500], [0.250, 0.750, 0.500], [0.750, 0.250, 0.500], [0.750, 0.750, 0.500], [0.000, 0.500, 0.000], [0.500, 0.000, 0.000]]
}

---

Number 1: Fermi-level density of states 1.40 states/eV/f.u., V 25.5 Å³ per atom, ΔH_f (0 K) 3.98 eV per formula unit. Number 2: Fermi-level density of states 5.67 states/eV/f.u., V 24.2 Å³ per atom, ΔH_f (0 K) 20.50 eV per formula unit. Number 3: Fermi-level density of states 2.74 states/eV/f.u., V 22.2 Å³ per atom, ΔH_f (0 K) 2.52 eV per formula unit. Number 4: Fermi-level density of states 5.44 states/eV/f.u., V 32.2 Å³ per atom, ΔH_f (0 K) 3.10 eV per formula unit. Number 5: Fermi-level density of states 2.46 states/eV/f.u., V 28.7 Å³ per atom, ΔH_f (0 K) -2.80 eV per formula unit. Number 6: Fermi-level density of states 4.78 states/eV/f.u., V 33.3 Å³ per atom, ΔH_f (0 K) 0.08 eV per formula unit. Number 7: Fermi-level density of states 4.24 states/eV/f.u., V 31.1 Å³ per atom, ΔH_f (0 K) 0.28 eV per formula unit. Number 8: Fermi-level density of states 4.82 states/eV/f.u., V 31.3 Å³ per atom, ΔH_f (0 K) 0.08 eV per formula unit.